Record 1
The following is a GGA-PBE calculation of a relaxed structure of MnSi2Ag, from the Alexandria database.

Computed properties:
Density of states at the Fermi level   0.50 states/eV per atom
Magnetization   0.683 μB per atom
Uncorrected formation energy   0.23 eV per atom

Cell and atoms, written as extended XYZ:
```
4
Lattice="-1.8637 1.8637 4.1734 1.8637 -1.8637 4.1734 1.8637 1.8637 -4.1734" Properties=species:S:1:pos:R:3 pbc="T T T"
Mn 0.0000 0.0000 0.0000
Si 1.8637 0.0000 2.0867
Si 0.0000 0.0000 4.1734
Ag 0.0000 1.8637 2.0867
```

---

Record 2
The following is a GGA-PBE calculation of a relaxed structure of DyTh2RuC2, from the Alexandria database.

Computed properties:
Density of states at the Fermi level   0.81 states/eV per atom
Magnetization   0.000 μB per atom
DFT formation energy   -1.34 eV per formula unit

Cell and atoms, written as extended XYZ:
```
12
Lattice="5.8715 0.0000 0.0000 0.0000 11.0693 0.0000 0.0000 0.0000 3.7574" Properties=species:S:1:pos:R:3 pbc="T T T"
Dy 0.0000 0.0000 0.0000
Dy 2.9358 5.5347 1.8787
Th 0.2544 3.2850 1.8787
Th 2.6814 8.8197 0.0000
Th 3.1901 2.2497 0.0000
Th 5.6172 7.7843 1.8787
Ru 0.0000 5.5347 0.0000
Ru 2.9358 0.0000 1.8787
C 1.2632 9.7690 1.8787
C 1.6726 4.2343 0.0000
C 4.1990 6.8350 0.0000
C 4.6083 1.3003 1.8787
```

---

Record 3
The following is a GGA-PBE calculation of a relaxed structure of K2RbSe2, from the Alexandria database.

Computed properties:
Density of states at the Fermi level   0.18 states/eV per atom
Magnetization   0.000 μB per atom
Uncorrected formation energy   -0.91 eV per atom

Cell and atoms, written as extended XYZ:
```
10
Lattice="9.4713 0.0000 0.0000 0.0000 9.4713 0.0000 0.0000 0.0000 3.6345" Properties=species:S:1:pos:R:3 pbc="T T T"
K 1.1574 3.5783 0.0000
K 3.5783 8.3139 0.0000
K 5.8930 1.1574 0.0000
K 8.3139 5.8930 0.0000
Rb 0.0000 0.0000 0.0000
Rb 4.7356 4.7356 0.0000
Se 1.6672 6.4028 1.8172
Se 3.0684 1.6672 1.8172
Se 6.4028 7.8041 1.8172
Se 7.8041 3.0684 1.8172
```

---

Record 4
The following is a GGA-PBE calculation of a relaxed structure of LiHfRu2N, from the Alexandria database.

Computed properties:
Density of states at the Fermi level   0.66 states/eV per atom
Magnetization   0.000 μB per atom
Uncorrected formation energy   -0.21 eV per atom

Cell and atoms, written as extended XYZ:
```
5
Lattice="4.0808 0.0000 0.0000 0.0000 4.0808 0.0000 0.0000 0.0000 3.9428" Properties=species:S:1:pos:R:3 pbc="T T T"
Li 0.0000 0.0000 0.0000
Hf 2.0404 2.0404 0.0000
Ru 0.0000 2.0404 1.9714
Ru 2.0404 0.0000 1.9714
N 0.0000 0.0000 1.9714
```